(1)
Ni3GeW | PBE-GGA | relaxed

abc: 4.544 4.544 4.544
angles: 90.00 90.00 90.00
Fractional positions:
Ni 0.000 0.000 0.500
Ni 0.000 0.500 0.000
Ni 0.500 0.000 0.000
Ge 0.500 0.500 0.500
W 0.000 0.000 0.000

Calculated values
- Energy above the lowest structure with this stoichiometry: 0.340 eV/atom
- ΔH_f (0 K): 1369 meV/atom
- Space-group type: No. 221

(2)
KHfGa | PBE-GGA | relaxed

abc: 3.194 6.253 8.767
angles: 89.31 89.73 75.25
Fractional positions:
K 0.000 0.000 0.000
K 0.241 0.512 0.747
Hf 0.330 0.327 0.354
Hf 0.616 0.756 0.391
Ga 0.733 0.526 0.120
Ga 0.963 0.057 0.559

Calculated values
- Energy above the lowest structure with this stoichiometry: 0.258 eV/atom
- ΔH_f (0 K): 179 meV/atom
- Space-group type: No. 1

(3)
PaZnFeOs | PBE-GGA | relaxed

abc: 4.534 4.534 4.534
angles: 60.00 60.00 60.00
Fractional positions:
Pa 0.000 0.000 0.000
Zn 0.500 0.500 0.500
Fe 0.250 0.250 0.250
Os 0.750 0.750 0.750

Calculated values
- ΔH_f (0 K): -7 meV/atom
- Space-group type: No. 216

(4)
RbDy6Se8 | PBE-GGA | relaxed

abc: 11.022 11.022 4.169
angles: 90.00 90.00 120.00
Fractional positions:
Rb 0.000 0.000 0.000
Dy 0.138 0.656 0.750
Dy 0.344 0.482 0.750
Dy 0.482 0.138 0.250
Dy 0.518 0.862 0.750
Dy 0.656 0.518 0.250
Dy 0.862 0.344 0.250
Se 0.045 0.357 0.750
Se 0.312 0.955 0.750
Se 0.333 0.667 0.250
Se 0.357 0.312 0.250
Se 0.643 0.688 0.750
Se 0.667 0.333 0.750
Se 0.688 0.045 0.250
Se 0.955 0.643 0.250

Calculated values
- Space-group type: No. 147
- E_form (uncorrected): -1.7392 eV/atom

(5)
Li3TaCu2S6 | PBE-GGA | relaxed

abc: 6.251 6.251 6.277
angles: 98.32 98.32 122.41
Fractional positions:
Li 0.000 0.000 0.000
Li 0.323 0.677 0.000
Li 0.677 0.323 0.000
Ta 0.500 0.500 0.500
Cu 0.157 0.843 0.500
Cu 0.843 0.157 0.500
S 0.084 0.407 0.276
S 0.265 0.265 0.752
S 0.407 0.084 0.276
S 0.593 0.916 0.724
S 0.735 0.735 0.248
S 0.916 0.593 0.724

Calculated values
- Space-group type: No. 12
- E_form (uncorrected): -0.7332 eV/atom

(6)
PaRhIO6 | PBE-GGA | relaxed

abc: 5.652 5.652 8.906
angles: 90.00 90.00 120.00
Fractional positions:
Pa 0.333 0.667 0.250
Pa 0.667 0.333 0.750
Rh 0.000 0.000 0.000
Rh 0.000 0.000 0.500
I 0.333 0.667 0.750
I 0.667 0.333 0.250
O 0.004 0.333 0.626
O 0.004 0.671 0.874
O 0.329 0.333 0.874
O 0.329 0.996 0.626
O 0.333 0.004 0.126
O 0.333 0.329 0.374
O 0.667 0.671 0.626
O 0.667 0.996 0.874
O 0.671 0.004 0.374
O 0.671 0.667 0.126
O 0.996 0.329 0.126
O 0.996 0.667 0.374

Calculated values
- Space-group type: No. 163
- E_form (uncorrected): -1.3017 eV/atom

(7)
Er2CdPb9 | PBE-GGA | relaxed

abc: 4.767 4.767 15.422
angles: 90.00 90.00 90.00
Fractional positions:
Er 0.000 0.000 0.154
Er 0.000 0.000 0.846
Cd 0.000 0.000 0.500
Pb 0.000 0.500 0.000
Pb 0.000 0.500 0.330
Pb 0.000 0.500 0.670
Pb 0.500 0.000 0.000
Pb 0.500 0.000 0.330
Pb 0.500 0.000 0.670
Pb 0.500 0.500 0.168
Pb 0.500 0.500 0.500
Pb 0.500 0.500 0.832

Calculated values
- ΔH_f (0 K): -144 meV/atom
- Space-group type: No. 123

(8)
InAg2Te | PBE-GGA | relaxed

abc: 3.176 4.393 6.838
angles: 90.00 90.42 90.00
Fractional positions:
In 0.000 0.000 0.000
Ag 0.499 0.500 0.211
Ag 0.501 0.500 0.789
Te 0.500 0.000 0.500

Calculated values
- Energy above the lowest structure with this stoichiometry: 0.010 eV/atom
- Space-group type: No. 10
- E_form (uncorrected): 0.0179 eV/atom

(9)
CsNb2S4 | PBE-GGA | relaxed

abc: 5.832 17.487 3.473
angles: 90.00 90.00 90.00
Fractional positions:
Cs 0.000 0.000 0.000
Cs 0.500 0.500 0.500
Nb 0.005 0.250 0.000
Nb 0.495 0.750 0.500
Nb 0.505 0.250 0.500
Nb 0.995 0.750 0.000
S 0.158 0.662 0.500
S 0.160 0.838 0.500
S 0.340 0.338 0.000
S 0.342 0.162 0.000
S 0.658 0.838 0.000
S 0.660 0.662 0.000
S 0.840 0.162 0.500
S 0.842 0.338 0.500

Calculated values
- Energy above the lowest structure with this stoichiometry: 0.000 eV/atom
- Space-group type: No. 58
- E_form (uncorrected): -1.2205 eV/atom

(10)
Ti3TeW | PBE-GGA | relaxed

abc: 4.817 4.817 4.817
angles: 90.00 90.00 90.00
Fractional positions:
Ti 0.000 0.000 0.500
Ti 0.000 0.500 0.000
Ti 0.500 0.000 0.000
Te 0.500 0.500 0.500
W 0.000 0.000 0.000

Calculated values
- Energy above the lowest structure with this stoichiometry: 0.000 eV/atom
- Space-group type: No. 221
- E_form (uncorrected): 0.7123 eV/atom

(11)
ScCuOs2 | PBE-GGA | relaxed

abc: 9.037 9.037 9.037
angles: 17.82 17.82 17.82
Fractional positions:
Sc 0.000 0.000 0.000
Cu 0.500 0.500 0.500
Os 0.246 0.246 0.246
Os 0.754 0.754 0.754

Calculated values
- Energy above the lowest structure with this stoichiometry: 0.302 eV/atom
- ΔH_f (0 K): 277 meV/atom
- Space-group type: No. 166

(12)
PmPr8 | PBE-GGA | relaxed

abc: 8.291 8.291 8.291
angles: 95.76 95.76 143.07
Fractional positions:
Pm 0.000 0.000 0.000
Pr 0.000 0.333 0.333
Pr 0.000 0.667 0.667
Pr 0.333 0.000 0.333
Pr 0.334 0.334 0.668
Pr 0.334 0.666 0.000
Pr 0.666 0.334 0.000
Pr 0.666 0.666 0.332
Pr 0.667 0.000 0.667

Calculated values
- ΔH_f (0 K): 12 meV/atom
- Space-group type: No. 139

Number 1: total DFT energy (no corrections) -5.614 eV/atom, V 93.8 Å³/cell. Number 2: total DFT energy (no corrections) -4.513 eV/atom, V 169.3 Å³/cell. Number 3: total DFT energy (no corrections) -7.622 eV/atom, V 65.9 Å³/cell. Number 4: total DFT energy (no corrections) -5.503 eV/atom, V 438.6 Å³/cell. Number 5: total DFT energy (no corrections) -4.946 eV/atom, V 197.5 Å³/cell. Number 6: total DFT energy (no corrections) -6.651 eV/atom, V 246.4 Å³/cell. Number 7: total DFT energy (no corrections) -3.762 eV/atom, V 350.5 Å³/cell. Number 8: total DFT energy (no corrections) -2.878 eV/atom, V 95.4 Å³/cell. Number 9: total DFT energy (no corrections) -6.578 eV/atom, V 354.1 Å³/cell. Number 10: total DFT energy (no corrections) -7.244 eV/atom, V 111.8 Å³/cell. Number 11: total DFT energy (no corrections) -7.945 eV/atom, V 60.4 Å³/cell. Number 12: total DFT energy (no corrections) -4.765 eV/atom, V 324.8 Å³/cell.